This record from Alexandria via LeMat-Bulk describes a relaxed ZrOsPt crystal. The functional is PBE-GGA.

Lattice parameters (Å, degrees): 5.5752 4.1689 9.1594 90.00 106.67 90.00
Atoms (fractional coordinates):
Pt (0.5000, 0.0000, 0.0000)
Pt (0.0000, 0.5000, 0.5000)
Pt (0.0000, 0.0000, 0.0000)
Pt (0.5000, 0.5000, 0.5000)
Os (0.1467, 0.0000, 0.3164)
Os (0.1467, 0.5000, 0.8164)
Os (0.8533, 0.5000, 0.1836)
Os (0.8533, 0.0000, 0.6836)
Zr (0.6765, 0.5000, 0.8554)
Zr (0.6765, 0.0000, 0.3554)
Zr (0.3235, 0.0000, 0.6446)
Zr (0.3235, 0.5000, 0.1446)

ΔH_f (0 K) = -138 kJ/mol of formula units
Energy above the lowest structure with this stoichiometry = 94 meV per atom
Theoretical density = 15.520 g cm⁻³

This record from Alexandria via LeMat-Bulk describes a relaxed ZrOsPt crystal. The functional is PBE-GGA.

Lattice parameters (Å, degrees): 4.7548 3.1549 7.1628 90.00 106.84 90.00
Atoms (fractional coordinates):
Os (0.6102, 0.0000, 0.5674)
Os (0.6370, 0.5000, 0.8831)
Zr (0.8238, 0.0000, 0.2382)
Zr (0.1234, 0.0000, 0.8667)
Pt (0.1326, 0.5000, 0.5480)
Pt (0.3176, 0.5000, 0.2056)

ΔH_f (0 K) = -132 kJ/mol of formula units
Energy above the lowest structure with this stoichiometry = 116 meV per atom
Theoretical density = 15.389 g cm⁻³

This record from Alexandria via LeMat-Bulk describes a relaxed ZrOsPt crystal. The functional is PBE-GGA.

Lattice parameters (Å, degrees): 5.7062 4.0788 9.0737 90.00 106.65 90.00
Atoms (fractional coordinates):
Pt (0.6678, 0.0000, 0.8233)
Pt (0.3322, 0.0000, 0.1767)
Pt (0.3322, 0.5000, 0.6767)
Pt (0.6678, 0.5000, 0.3233)
Zr (0.8115, 0.0000, 0.1431)
Zr (0.1885, 0.5000, 0.3569)
Zr (0.8115, 0.5000, 0.6431)
Zr (0.1885, 0.0000, 0.8569)
Os (0.0000, 0.0000, 0.5000)
Os (0.5000, 0.0000, 0.5000)
Os (0.0000, 0.5000, 0.0000)
Os (0.5000, 0.5000, 0.0000)

ΔH_f (0 K) = -160 kJ/mol of formula units
Energy above the lowest structure with this stoichiometry = 18 meV per atom
Theoretical density = 15.643 g cm⁻³

This record from Alexandria via LeMat-Bulk describes a relaxed ZrOsPt crystal. The functional is PBE-GGA.

Lattice parameters (Å, degrees): 4.4024 4.4024 4.4024 60.00 60.00 60.00
Atoms (fractional coordinates):
Zr (0.7500, 0.7500, 0.7500)
Os (0.0000, 0.0000, 0.0000)
Pt (0.5000, 0.5000, 0.5000)

ΔH_f (0 K) = 61 kJ/mol of formula units
Energy above the lowest structure with this stoichiometry = 782 meV per atom
Theoretical density = 13.116 g cm⁻³

| no. | size of the total moment (μB/f.u.) |
| --- | --- |
| 1 | 0.0 |
| 2 | 0.0 |
| 3 | 0.0 |
| 4 | 0.0 |